Entry 1:
4
Lattice="4.4113 0.0046 -0.0004 -2.2003 3.8233 0.0004 -2.1959 -1.2841 7.8706" Properties=species:S:1:pos:R:3 comment="GGA-PBE CaDyBi2, relaxed" total_magnetization_mub_per_cell=0.00 dos_ef_per_ev_cell=2.0 energy_ev_per_atom=-4.327 de_polymorph_mev_per_atom=0.0 pbc="T T T"
Ca -2.1982 1.2696 3.9358
Dy 0.0151 2.5437 7.8702
Bi 0.0092 -0.0053 5.9845
Bi 0.0057 2.5491 1.8862


Entry 2:
10
Lattice="-1.6806 -5.6035 5.6693 -4.2040 -6.6854 -1.9972 4.0025 -7.3987 -0.2716" Properties=species:S:1:pos:R:3 comment="GGA-PBE KSr2TlBr6, relaxed" total_magnetization_mub_per_cell=0.00 dos_ef_per_ev_cell=0.0 energy_ev_per_atom=-3.480 raw_formation_energy_mev_per_atom=-1793.5 pbc="T T T"
K -1.4345 -4.3872 1.0922
Sr -1.1976 -9.7019 1.7647
Sr 3.7518 -7.2604 -0.2087
Tl -2.3886 -14.2247 2.7951
Br -1.1260 -6.9727 3.1461
Br -3.1295 -8.9446 -0.4842
Br -3.2521 -11.0192 3.6105
Br -0.7691 -12.4582 0.4365
Br 1.0596 -10.6165 3.6661
Br 1.1278 -8.8062 -0.0623


Entry 3:
12
Lattice="-5.6821 4.9801 1.1847 -4.9173 -5.8020 0.8052 6.7226 0.2474 6.5168" Properties=species:S:1:pos:R:3 comment="GGA-PBE Tb8Ho3Tm, relaxed" total_magnetization_mub_per_cell=0.00 dos_ef_per_ev_cell=13.9 energy_ev_per_atom=-3.883 pbc="T T T"
Tb -5.1362 2.2476 2.9637
Tb -2.2912 -0.2459 2.3706
Tb 3.7215 0.0830 5.1398
Tb 0.8765 2.5766 5.7330
Tb -4.7533 -3.1509 2.7737
Tb -7.5983 -0.6574 3.3669
Tb -1.5856 -0.3284 6.1361
Tb 1.2594 -2.8220 5.5430
Ho -1.7472 -2.9827 4.1585
Ho -5.2997 -0.4109 0.9949
Ho -2.1296 2.4083 4.3482
Tm 0.0000 0.0000 0.0000


Entry 4:
4
Lattice="-1.4871 -2.2199 2.8665 0.6703 -2.3010 -1.4342 4.9182 -1.2506 1.5830" Properties=species:S:1:pos:R:3 comment="GGA-PBE SiIrOs2, relaxed" total_magnetization_mub_per_cell=0.00 dos_ef_per_ev_cell=1.9 energy_ev_per_atom=-9.277 raw_formation_energy_mev_per_atom=-91.1 pbc="T T T"
Ir 3.2240 -3.6255 1.5434
Os 0.1041 -0.1453 -0.0585
Os 0.7273 -2.4274 1.1761
Si 2.8403 -1.3491 0.4287